First-principles (PBEsol) data for a relaxed structure of KPH2O2, as listed in Alexandria.

Computed properties:
* total magnetic moment: 0.00 μB/f.u.
* E: -63.87 eV for the cell shown

Unit cell a=5.151 b=5.151 c=7.111 alpha=108.46 beta=108.46 gamma=89.71
Fractional coordinates of all 12 atoms:
P  0.182  0.818  0.750
P  0.818  0.182  0.250
H  0.191  0.074  0.910
H  0.074  0.191  0.410
H  0.809  0.926  0.090
H  0.926  0.809  0.590
O  0.164  0.585  0.834
O  0.585  0.164  0.334
O  0.415  0.836  0.666
O  0.836  0.415  0.166
K  0.644  0.356  0.750
K  0.356  0.644  0.250

***

First-principles (PBEsol) data for a relaxed structure of KPH3O4, as listed in Alexandria.

Computed properties:
* total magnetic moment: 0.00 μB/f.u.
* E: -419.01 eV for the cell shown

Unit cell a=6.708 b=8.780 c=14.344 alpha=90.00 beta=98.49 gamma=90.00
Fractional coordinates of all 72 atoms:
P  0.061  0.069  0.061
P  0.853  0.556  0.488
P  0.647  0.056  0.512
P  0.939  0.931  0.939
P  0.561  0.431  0.061
P  0.353  0.944  0.488
P  0.439  0.569  0.939
P  0.147  0.444  0.512
H  0.229  0.815  0.926
H  0.568  0.964  0.690
H  0.898  0.721  0.320
H  0.380  0.060  0.202
H  0.432  0.036  0.310
H  0.576  0.662  0.320
H  0.398  0.779  0.320
H  0.176  0.159  0.504
H  0.932  0.464  0.310
H  0.120  0.560  0.798
H  0.324  0.659  0.496
H  0.880  0.440  0.202
H  0.076  0.838  0.320
H  0.729  0.685  0.926
H  0.771  0.185  0.074
H  0.824  0.841  0.496
H  0.676  0.341  0.504
H  0.424  0.338  0.680
H  0.271  0.315  0.074
H  0.068  0.536  0.690
H  0.602  0.221  0.680
H  0.102  0.279  0.680
H  0.924  0.162  0.680
H  0.620  0.940  0.798
O  0.288  0.550  0.463
O  0.547  0.298  0.720
O  0.517  0.910  0.743
O  0.212  0.429  0.618
O  0.047  0.202  0.720
O  0.629  0.207  0.457
O  0.714  0.525  0.124
O  0.786  0.025  0.876
O  0.871  0.707  0.543
O  0.788  0.950  0.463
O  0.953  0.798  0.280
O  0.212  0.050  0.537
O  0.214  0.975  0.124
O  0.712  0.071  0.618
O  0.872  0.103  0.113
O  0.628  0.603  0.887
O  0.286  0.475  0.876
O  0.453  0.702  0.280
O  0.288  0.929  0.382
O  0.128  0.897  0.887
O  0.638  0.284  0.020
O  0.862  0.784  0.980
O  0.983  0.410  0.257
O  0.017  0.590  0.743
O  0.138  0.216  0.020
O  0.712  0.450  0.537
O  0.372  0.397  0.113
O  0.483  0.090  0.257
O  0.362  0.716  0.980
O  0.129  0.293  0.457
O  0.788  0.571  0.382
O  0.371  0.793  0.543
K  0.607  0.620  0.685
K  0.880  0.341  0.864
K  0.893  0.120  0.315
K  0.120  0.659  0.136
K  0.107  0.880  0.685
K  0.620  0.841  0.136
K  0.380  0.159  0.864
K  0.393  0.380  0.315

***

First-principles (PBEsol) data for a relaxed structure of K3P4H5O14, as listed in Alexandria.

Computed properties:
* total magnetic moment: 0.00 μB/f.u.
* E: -334.38 eV for the cell shown

Unit cell a=8.952 b=9.740 c=9.721 alpha=68.74 beta=62.58 gamma=62.64
Fractional coordinates of all 52 atoms:
O  0.590  0.004  0.142
O  0.058  0.343  0.208
O  0.220  0.240  0.955
O  0.085  0.406  0.583
O  0.313  0.178  0.310
O  0.138  0.802  0.549
O  0.684  0.482  0.646
O  0.800  0.322  0.190
O  0.780  0.760  0.045
O  0.926  0.906  0.083
O  0.608  0.157  0.292
O  0.512  0.302  0.049
O  0.265  0.504  0.642
O  0.585  0.740  0.455
O  0.488  0.698  0.951
O  0.410  0.996  0.858
O  0.735  0.496  0.358
O  0.915  0.594  0.417
O  0.687  0.822  0.690
O  0.188  0.982  0.146
O  0.862  0.198  0.451
O  0.392  0.843  0.708
O  0.415  0.260  0.545
O  0.316  0.518  0.354
O  0.812  0.018  0.854
O  0.074  0.094  0.917
O  0.200  0.678  0.810
O  0.942  0.657  0.792
P  0.507  0.173  0.192
P  0.872  0.327  0.308
P  0.493  0.827  0.808
P  0.731  0.575  0.482
P  0.212  0.075  0.982
P  0.128  0.673  0.692
P  0.788  0.925  0.018
P  0.269  0.425  0.518
H  0.792  0.756  0.735
H  0.000  0.500  0.500
H  0.716  0.256  0.235
H  0.000  0.000  0.000
H  0.148  0.287  0.058
H  0.852  0.713  0.942
H  0.493  0.213  0.442
H  0.284  0.744  0.765
H  0.208  0.244  0.265
H  0.507  0.787  0.558
K  0.559  0.250  0.750
K  0.207  0.582  0.115
K  0.096  0.082  0.615
K  0.904  0.918  0.385
K  0.793  0.418  0.885
K  0.441  0.750  0.250

***

Repeat the first record exactly.
First-principles (PBEsol) data for a relaxed structure of KPH2O2, as listed in Alexandria.

Computed properties:
* total magnetic moment: 0.00 μB/f.u.
* E: -63.87 eV for the cell shown

Unit cell a=5.151 b=5.151 c=7.111 alpha=108.46 beta=108.46 gamma=89.71
Fractional coordinates of all 12 atoms:
P  0.182  0.818  0.750
P  0.818  0.182  0.250
H  0.191  0.074  0.910
H  0.074  0.191  0.410
H  0.809  0.926  0.090
H  0.926  0.809  0.590
O  0.164  0.585  0.834
O  0.585  0.164  0.334
O  0.415  0.836  0.666
O  0.836  0.415  0.166
K  0.644  0.356  0.750
K  0.356  0.644  0.250

***

Which of these has the highest E?
KPH2O2